No. 1
The following is a DFT calculation (PBE-GGA) of crystalline PmZnPd2 at its relaxed geometry.

```
4
Lattice="3.5941 0.0000 0.0000 0.0000 4.6043 0.0000 0.0000 0.0000 4.6043" Properties=species:S:1:pos:R:3 pbc="T T T"
Pm 1.7970 2.3022 2.3022
Pd 0.0000 0.0000 2.3022
Pd 0.0000 2.3022 0.0000
Zn 1.7970 0.0000 0.0000
```

## Properties
Space group: P4/mmm
Final energy (eV/atom): -4.652
Calculated formation energy (eV/atom): -0.55



No. 2
The following is a DFT calculation (PBE-GGA) of crystalline LaPm3NdEr at its relaxed geometry.

```
12
Lattice="5.1780 0.0000 0.0000 0.0000 8.1075 -0.7801 0.0000 -3.9260 10.2088" Properties=species:S:1:pos:R:3 pbc="T T T"
Pm 1.2945 -2.7075 9.6945
Pm 3.8835 0.9140 5.2637
Pm 3.8835 2.2444 1.8102
Pm 3.8835 6.8890 -0.2659
Pm 1.2945 3.2675 4.1649
Pm 1.2945 1.9371 7.6184
La 3.8835 4.3201 6.5648
La 1.2945 -0.1386 2.8638
Nd 3.8835 5.6072 3.1212
Nd 1.2945 -1.4258 6.3075
Er 3.8835 -0.3609 8.6635
Er 1.2945 4.5423 0.7652
```

## Properties
Space group: P2_1/m
Final energy (eV/atom): -4.731
Calculated formation energy (eV/atom): 0.02



No. 3
The following is a DFT calculation (PBE-GGA) of crystalline Th8CoTe4C3 at its relaxed geometry.

```
16
Lattice="-4.7155 -0.7814 -6.3820 6.0253 -5.0244 -3.8367 -2.6032 -2.2801 7.1835" Properties=species:S:1:pos:R:3 pbc="T T T"
Te -3.6594 -1.5307 0.4008
Te 0.0000 0.0000 0.0000
Te -2.3577 -0.3907 -3.1910
Te -1.3016 -1.1400 3.5918
C 1.7110 -3.6522 1.6734
C 0.6549 -2.9029 -5.1094
C -0.6467 -4.0429 -1.5176
Th -1.7261 -6.1975 -0.3799
Th -1.8528 -2.2671 -5.7484
Th -0.4903 -5.0664 -3.9983
Th 0.5594 -5.8187 2.7132
Th 0.4327 -1.8884 -2.6553
Th 1.8211 -4.7137 -0.7684
Th -0.8031 -3.0195 0.9631
Th -3.1145 -3.3721 -2.2668
Co 3.0126 -2.5122 -1.9184
```

## Properties
Space group: R-3m
Final energy (eV/atom): -7.430
Uncorrected formation energy (eV per atom): -0.76